1.
A plane-wave DFT calculation with GGA-PBE was carried out for a geometry-optimized BaLiZnPd2 structure.

abc: 4.3760 4.3760 6.4275
angles: 109.90 109.90 90.00
With the nearest neighbours (Å) after each atom.
Sites, in units of the cell vectors:
Pd (0.6223, 0.6223, 0.2446)  2 Li 2.62, 2 Zn 2.62, 1 Pd 2.76
Pd (0.3777, 0.3777, 0.7554)  2 Li 2.62, 2 Zn 2.62, 1 Pd 2.76
Ba (0.0000, 0.0000, 0.0000)  8 Pd 3.39, 4 Li 3.57, 4 Zn 3.57
Zn (0.7500, 0.2500, 0.5000)  4 Pd 2.62
Li (0.2500, 0.7500, 0.5000)  4 Pd 2.62

The raw total energy comes out at -3.589 eV/atom. As for the calculated formation energy: -0.490 eV/atom.

***

2.
A plane-wave DFT calculation with GGA-PBE was carried out for a geometry-optimized Ba2LiZnPd structure.

abc: 6.1386 6.1386 4.8864
angles: 90.00 90.00 90.00
With the nearest neighbours (Å) after each atom.
Sites, in units of the cell vectors:
Pd (0.0000, 0.0000, 0.0000)  2 Li 2.44
Li (0.0000, 0.0000, 0.5000)  2 Pd 2.44
Ba (0.0000, 0.5000, 0.0000)  2 Pd 3.07
Ba (0.5000, 0.0000, 0.0000)  2 Pd 3.07
Zn (0.5000, 0.5000, 0.5000)  8 Ba 3.92, 4 Li 4.34

The raw total energy comes out at -2.601 eV/atom. As for the calculated formation energy: -0.156 eV/atom.

***

3.
A plane-wave DFT calculation with GGA-PBE was carried out for a geometry-optimized Ba2LiZnPd structure.

abc: 6.1656 6.1656 4.9989
angles: 90.00 90.00 90.00
With the nearest neighbours (Å) after each atom.
Sites, in units of the cell vectors:
Li (0.5000, 0.5000, 0.5000)  8 Ba 3.97, 4 Zn 4.36
Ba (0.5000, 0.0000, 0.0000)  2 Pd 3.08
Ba (0.0000, 0.5000, 0.0000)  2 Pd 3.08
Zn (0.0000, 0.0000, 0.5000)  2 Pd 2.50
Pd (0.0000, 0.0000, 0.0000)  2 Zn 2.50

The raw total energy comes out at -2.644 eV/atom. As for the calculated formation energy: -0.199 eV/atom.

***

4.
A plane-wave DFT calculation with GGA-PBE was carried out for a geometry-optimized BaLiZn2Pd structure.

abc: 4.9869 4.9869 4.9238
angles: 90.00 90.00 90.00
With the nearest neighbours (Å) after each atom.
Sites, in units of the cell vectors:
Li (0.0000, 0.0000, 0.5000)  2 Pd 2.46
Zn (0.5000, 0.0000, 0.0000)  2 Pd 2.49
Zn (0.0000, 0.5000, 0.0000)  2 Pd 2.49
Ba (0.5000, 0.5000, 0.5000)  8 Zn 3.50, 4 Li 3.53
Pd (0.0000, 0.0000, 0.0000)  2 Li 2.46, 4 Zn 2.49

The raw total energy comes out at -2.610 eV/atom. As for the calculated formation energy: -0.294 eV/atom.

***

5.
A plane-wave DFT calculation with GGA-PBE was carried out for a geometry-optimized BaLi4Pm structure.

abc: 6.2629 6.2629 6.2629
angles: 60.00 60.00 60.00
With the nearest neighbours (Å) after each atom.
Sites, in units of the cell vectors:
Li (0.6268, 0.1195, 0.6268)  6 Li 3.09-3.18
Li (0.1195, 0.6268, 0.6268)  6 Li 3.09-3.18
Li (0.6268, 0.6268, 0.6268)  6 Li 3.09-3.18
Li (0.6268, 0.6268, 0.1195)  6 Li 3.09-3.18
Pm (0.0000, 0.0000, 0.0000)  12 Li 3.67, 4 Ba 3.84
Ba (0.2500, 0.2500, 0.2500)  12 Li 3.68, 4 Pm 3.84

The raw total energy comes out at -2.259 eV/atom. As for the calculated formation energy: 0.129 eV/atom.

***

6.
A plane-wave DFT calculation with GGA-PBE was carried out for a geometry-optimized Ba2Li2PmS4 structure.

abc: 4.1096 7.4044 7.8281
angles: 109.34 105.22 90.00
With the nearest neighbours (Å) after each atom.
Sites, in units of the cell vectors:
S (0.4777, 0.2476, 0.9554)  1 Li 2.45
S (0.2049, 0.1902, 0.4099)  3 Li 2.47-2.54
S (0.7951, 0.8098, 0.5901)  3 Li 2.47-2.54
S (0.5223, 0.7524, 0.0446)  1 Li 2.45
Li (0.6812, 0.9946, 0.3624)  4 S 2.45-2.54
Li (0.3188, 0.0054, 0.6376)  4 S 2.45-2.54
Pm (0.0000, 0.0000, 0.0000)  6 S 2.85-2.93
Ba (0.1331, 0.5578, 0.2661)  7 S 3.25-3.36, 1 Li 3.53
Ba (0.8669, 0.4422, 0.7339)  7 S 3.25-3.36, 1 Li 3.53

As for the uncorrected formation energy: -15.5 eV/f.u. The raw total energy comes out at -4.934 eV/atom.

***

- Which formula does entry 4 have?
  BaLiZn2Pd

***

- What is the formula in the second record?
  Ba2LiZnPd

***

- raw total energy of number 6 (Ba2Li2PmS4)?
  -4.934 eV/atom